[1]
This record from Alexandria via LeMat-Bulk describes La2AgSe2 after structural relaxation. The functional is GGA-PBE.

Properties
As for the space-group type: P4/mbm, No. 127. The value obtained for the total magnetization is 0.000 μB per atom. Its calculated density is 6.86 Mg/m³. For the formation energy from raw total energies, the calculation gives -129.3 kJ/mol of atoms. For the energy above the most stable polymorph in this dataset, the calculation gives 0 meV per atom. The value obtained for the density of states at the Fermi level is 4.315 states/eV/cell.

Cell lengths 8.281, 8.281, 3.837 Å; angles 90.00, 90.00, 90.00 degrees
Atoms (fractional coordinates):
Se 0.360 0.860 0.000
Se 0.140 0.360 0.000
Se 0.640 0.140 0.000
Se 0.860 0.640 0.000
La 0.662 0.838 0.500
La 0.162 0.662 0.500
La 0.338 0.162 0.500
La 0.838 0.338 0.500
Ag 0.000 0.000 0.000
Ag 0.500 0.500 0.000

***

[2]
This record from Alexandria via LeMat-Bulk describes La2AgSe4 after structural relaxation. The functional is GGA-PBE.

Properties
As for the space-group type: I4/mmm, No. 139. The value obtained for the total magnetization is 0.000 μB per atom. Its calculated density is 6.01 Mg/m³. For the formation energy from raw total energies, the calculation gives -119.5 kJ/mol of atoms. For the energy above the most stable polymorph in this dataset, the calculation gives 199 meV per atom. The value obtained for the density of states at the Fermi level is 2.057 states/eV/cell.

Cell lengths 4.948, 4.948, 8.659 Å; angles 73.40, 73.40, 90.00 degrees
Atoms (fractional coordinates):
Se 0.500 0.000 0.000
Se 0.815 0.815 0.369
Se 0.000 0.500 0.000
Se 0.185 0.185 0.631
La 0.366 0.366 0.268
La 0.634 0.634 0.732
Ag 0.000 0.000 0.000